# 1
Entry from Alexandria: a relaxed structure of Sr5Nd3Te8 (PBE).

a = 9.3177 Å, b = 9.3177 Å, c = 9.3177 Å
α = 59.37°, β = 59.37°, γ = 59.37°
Closest atoms and distances in Å follow each position.
Element x y z (fractional)
Sr: 0.0000 0.0000 0.0000  6 Te 3.28
Sr: 0.0000 0.5000 0.5000  6 Te 3.32-3.33
Sr: 0.5000 0.0000 0.5000  6 Te 3.32-3.33
Sr: 0.5000 0.5000 0.0000  6 Te 3.32-3.33
Sr: 0.5000 0.5000 0.5000  6 Te 3.28
Nd: 0.0000 0.0000 0.5000  6 Te 3.23-3.24
Nd: 0.0000 0.5000 0.0000  6 Te 3.23-3.24
Nd: 0.5000 0.0000 0.0000  6 Te 3.23-3.24
Te: 0.2426 0.7500 0.7500  2 Nd 3.23, 4 Sr 3.28-3.33
Te: 0.2468 0.2468 0.2468  3 Nd 3.24, 3 Sr 3.32
Te: 0.2500 0.2500 0.7574  2 Nd 3.23, 4 Sr 3.28-3.33
Te: 0.2500 0.7574 0.2500  2 Nd 3.23, 4 Sr 3.28-3.33
Te: 0.7500 0.2426 0.7500  2 Nd 3.23, 4 Sr 3.28-3.33
Te: 0.7500 0.7500 0.2426  2 Nd 3.23, 4 Sr 3.28-3.33
Te: 0.7532 0.7532 0.7532  3 Nd 3.24, 3 Sr 3.32
Te: 0.7574 0.2500 0.2500  2 Nd 3.23, 4 Sr 3.28-3.33

Output
- Crystal system: trigonal
- SG: R-3m (166)
- Electronic total energy: -4.5855 eV/atom
- Raw formation energy: -1.60 eV/atom

---

# 2
Entry from Alexandria: a relaxed structure of BaErPt2 (PBE).

a = 6.4705 Å, b = 6.4705 Å, c = 6.4705 Å
α = 42.26°, β = 42.26°, γ = 42.26°
Closest atoms and distances in Å follow each position.
Element x y z (fractional)
Ba: 0.0000 0.0000 0.0000  8 Pt 3.43-3.77
Er: 0.5000 0.5000 0.5000  6 Pt 2.82
Pt: 0.2134 0.2134 0.2134  3 Er 2.82
Pt: 0.7866 0.7866 0.7866  3 Er 2.82

Output
- E above lowest polymorph: 0.22 eV per formula unit
- Crystal system: trigonal
- E_form: -3.7 eV/f.u.
- SG: R-3m (166)
- Electronic total energy: -5.5637 eV/atom

---

# 3
Entry from Alexandria: a relaxed structure of SiSb2As (PBE).

a = 7.2532 Å, b = 7.2532 Å, c = 7.2532 Å
α = 32.28°, β = 32.28°, γ = 32.28°
Closest atoms and distances in Å follow each position.
Element x y z (fractional)
Si: 0.0000 0.0000 0.0000  3 Sb 2.70, 3 As 2.86
Sb: 0.2674 0.2674 0.2674  3 Si 2.70
Sb: 0.4906 0.4906 0.4906  3 As 2.81
As: 0.7473 0.7473 0.7473  3 Sb 2.81, 3 Si 2.86

Output
- E above lowest polymorph: 0.00 eV per formula unit
- Crystal system: trigonal
- SG: R3m (160)
- Electronic total energy: -4.4168 eV/atom
- Raw formation energy: 0.16 eV/atom

---

# 4
Entry from Alexandria: a relaxed structure of ScMnH2Pt (PBE).

a = 3.6333 Å, b = 3.6333 Å, c = 5.6992 Å
α = 90.00°, β = 90.00°, γ = 90.00°
Closest atoms and distances in Å follow each position.
Element x y z (fractional)
Sc: 0.0000 0.0000 0.0000  4 H 1.82
Mn: 0.0000 0.0000 0.5000  4 Pt 2.57, 2 Sc 2.85
H: 0.0000 0.5000 0.0000  2 Sc 1.82
H: 0.5000 0.0000 0.0000  2 Sc 1.82
Pt: 0.5000 0.5000 0.5000  4 Mn 2.57

Output
- Crystal system: tetragonal
- SG: P4/mmm (123)
- Electronic total energy: -5.4439 eV/atom

---

# 5
Entry from Alexandria: a relaxed structure of Ce3Ga (PBE).

a = 5.1688 Å, b = 5.1688 Å, c = 5.1688 Å
α = 60.00°, β = 60.00°, γ = 60.00°
Closest atoms and distances in Å follow each position.
Element x y z (fractional)
Ce: 0.0000 0.0000 0.0000  8 Ce 3.17
Ce: 0.2500 0.2500 0.2500  4 Ce 3.17, 4 Ga 3.17
Ce: 0.7500 0.7500 0.7500  4 Ce 3.17, 4 Ga 3.17
Ga: 0.5000 0.5000 0.5000  8 Ce 3.17

Output
- E above lowest polymorph: 0.51 eV per formula unit
- Crystal system: cubic
- E_form: -0.5 eV/f.u.
- SG: Fm-3m (225)
- Electronic total energy: -5.3256 eV/atom

---

# 6
Entry from Alexandria: a relaxed structure of NaBi2W (PBE).

a = 7.9553 Å, b = 7.9553 Å, c = 7.9553 Å
α = 126.39°, β = 126.39°, γ = 79.26°
Closest atoms and distances in Å follow each position.
Element x y z (fractional)
Na: 0.0000 0.0000 0.0000  4 Bi 3.28
Na: 0.7500 0.2500 0.5000  4 Bi 3.28
Bi: 0.1936 0.6250 0.0686  2 W 2.69
Bi: 0.3750 0.4436 0.5686  2 W 2.69
Bi: 0.5564 0.1250 0.9314  2 W 2.69
Bi: 0.8750 0.8064 0.4314  2 W 2.69
W: 0.2500 0.7500 0.5000  4 Bi 2.69
W: 0.5000 0.5000 0.0000  4 Bi 2.69

Output
- E above lowest polymorph: 0.78 eV per formula unit
- Crystal system: tetragonal
- E_form: 3.3 eV/f.u.
- SG: I-42d (122)
- Electronic total energy: -4.6807 eV/atom

---

# 7
Entry from Alexandria: a relaxed structure of K4Pm3ZnO8 (PBE).

a = 7.1594 Å, b = 7.1594 Å, c = 7.4041 Å
α = 117.21°, β = 117.21°, γ = 57.97°
Closest atoms and distances in Å follow each position.
Element x y z (fractional)
K: 0.0000 0.0000 0.0000  2 O 2.59
K: 0.0000 0.5000 0.0000  6 O 2.75-2.98
K: 0.5000 0.0000 0.0000  6 O 2.75-2.98
K: 0.5000 0.5000 0.0000  6 O 2.76-2.99
Pm: 0.0000 0.0000 0.5000  6 O 2.39-2.40
Pm: 0.0000 0.5000 0.5000  6 O 2.33-2.44
Pm: 0.5000 0.0000 0.5000  6 O 2.33-2.44
Zn: 0.5000 0.5000 0.5000  4 O 2.13
O: 0.2233 0.2233 0.6907  3 Pm 2.37-2.39
O: 0.2374 0.2374 0.2785  2 Pm 2.33, 1 K 2.59
O: 0.2527 0.7025 0.6740  1 Zn 2.13
O: 0.2975 0.7473 0.3260  1 Zn 2.13
O: 0.7025 0.2527 0.6740  1 Zn 2.13
O: 0.7473 0.2975 0.3260  1 Zn 2.13
O: 0.7626 0.7626 0.7215  2 Pm 2.33, 1 K 2.59
O: 0.7767 0.7767 0.3093  3 Pm 2.37-2.39

Output
- Crystal system: monoclinic
- SG: C2/m (12)
- Electronic total energy: -5.9069 eV/atom
- Raw formation energy: -2.18 eV/atom

---

no.,V (Å³/f.u.)
1,563.8
2,110.9
3,96.7
4,75.2
5,97.6
6,157.7
7,274.3